Entry 1
# HgAs2F6 | the Alexandria database | GGA-PBE | relaxed
# DOS(E_F): 0.0 states/eV/f.u.
data_HgAs2F6
_symmetry_space_group_name_H-M 'C 1 2/c 1'
_symmetry_Int_Tables_number 15
_cell_length_a 13.305
_cell_length_b 13.787
_cell_length_c 4.761
_cell_angle_alpha 90.00
_cell_angle_beta 102.90
_cell_angle_gamma 90.00
loop_
_symmetry_equiv_pos_as_xyz
'x,y,z'
'-x,-y,-z'
'-x,y,-z+1/2'
'x,-y,z+1/2'
'x+1/2,y+1/2,z'
'-x+1/2,-y+1/2,-z'
'-x+1/2,y+1/2,-z+1/2'
'x+1/2,-y+1/2,z+1/2'
loop_
_atom_site_label
_atom_site_type_symbol
_atom_site_fract_x
_atom_site_fract_y
_atom_site_fract_z
Hg1 Hg 0.000 0.094 0.250
As1 As 0.160 0.367 0.941
F1 F 0.096 0.432 0.630
F2 F 0.189 0.269 0.726
F3 F 0.222 0.073 0.029

=====

Entry 2
# HgAs2F6 | the Alexandria database | GGA-PBE | relaxed
# DOS(E_F): 0.0 states/eV/f.u.
data_HgAs2F6
_symmetry_space_group_name_H-M 'I b a m'
_symmetry_Int_Tables_number 72
_symmetry_space_group_name_Hall '-I 2 2c'
_cell_length_a 8.090
_cell_length_b 9.196
_cell_length_c 10.385
_cell_angle_alpha 90.00
_cell_angle_beta 90.00
_cell_angle_gamma 90.00
loop_
_atom_site_label
_atom_site_type_symbol
_atom_site_fract_x
_atom_site_fract_y
_atom_site_fract_z
Hg1 Hg 0.000 0.000 0.250
As1 As 0.240 0.148 0.000
F1 F 0.120 0.310 0.375
F2 F 0.213 0.459 0.000

=====

Stability, descending: entry 1, entry 2

=====

Entry 1
# HgAsF2 | the Alexandria database | GGA-PBE | relaxed
# DOS(E_F): 3.9 states/eV/f.u.
data_HgAsF2
_symmetry_space_group_name_H-M 'F m -3 m'
_symmetry_Int_Tables_number 225
_symmetry_space_group_name_Hall '-F 4 2 3'
_cell_length_a 6.281
_cell_length_b 6.281
_cell_length_c 6.281
_cell_angle_alpha 90.00
_cell_angle_beta 90.00
_cell_angle_gamma 90.00
loop_
_atom_site_label
_atom_site_type_symbol
_atom_site_fract_x
_atom_site_fract_y
_atom_site_fract_z
Hg1 Hg 0.000 0.000 0.000
As1 As 0.000 0.000 0.500
F1 F 0.250 0.250 0.250

=====

Entry 2
# HgAsF2 | the Alexandria database | GGA-PBE | relaxed
# DOS(E_F): 1.5 states/eV/f.u.
data_HgAsF2
_symmetry_space_group_name_H-M 'I -4 2 d'
_symmetry_Int_Tables_number 122
_symmetry_space_group_name_Hall 'I -4 2bw'
_cell_length_a 4.126
_cell_length_b 4.126
_cell_length_c 15.586
_cell_angle_alpha 90.00
_cell_angle_beta 90.00
_cell_angle_gamma 90.00
loop_
_atom_site_label
_atom_site_type_symbol
_atom_site_fract_x
_atom_site_fract_y
_atom_site_fract_z
Hg1 Hg 0.000 0.000 0.000
As1 As 0.000 0.000 0.500
F1 F 0.176 0.250 0.625

=====

Entry 3
# HgAsF2 | the Alexandria database | GGA-PBE | relaxed
# DOS(E_F): 1.9 states/eV/f.u.
data_HgAsF2
_symmetry_space_group_name_H-M 'R -3 m'
_symmetry_Int_Tables_number 166
_symmetry_space_group_name_Hall '-R 3 2"'
_cell_length_a 3.0143
_cell_length_b 3.0143
_cell_length_c 26.5358
_cell_angle_alpha 90.00
_cell_angle_beta 90.00
_cell_angle_gamma 120.00
loop_
_atom_site_label
_atom_site_type_symbol
_atom_site_fract_x
_atom_site_fract_y
_atom_site_fract_z
Hg1 Hg 0.0000 0.0000 0.0000
As1 As 0.0000 0.0000 0.5000
F1 F 0.0000 0.0000 0.4288

=====

Entry 4
# HgAsF2 | the Alexandria database | GGA-PBE | relaxed
# DOS(E_F): 1.6 states/eV/f.u.
data_HgAsF2
_symmetry_space_group_name_H-M 'R -3 m'
_symmetry_Int_Tables_number 166
_symmetry_space_group_name_Hall '-R 3 2"'
_cell_length_a 2.9508
_cell_length_b 2.9508
_cell_length_c 26.4068
_cell_angle_alpha 90.00
_cell_angle_beta 90.00
_cell_angle_gamma 120.00
loop_
_atom_site_label
_atom_site_type_symbol
_atom_site_fract_x
_atom_site_fract_y
_atom_site_fract_z
Hg1 Hg 0.0000 0.0000 0.0000
As1 As 0.0000 0.0000 0.5000
F1 F 0.0000 0.0000 0.1027

=====

Stability, descending: entry 3, entry 4, entry 2, entry 1

=====

Entry 1
# HgAs3F | the Alexandria database | GGA-PBE | relaxed
# DOS(E_F): 6.7 states/eV/f.u.
data_HgAs3F
_symmetry_space_group_name_H-M 'P m -3 m'
_symmetry_Int_Tables_number 221
_symmetry_space_group_name_Hall '-P 4 2 3'
_cell_length_a 5.213
_cell_length_b 5.213
_cell_length_c 5.213
_cell_angle_alpha 90.00
_cell_angle_beta 90.00
_cell_angle_gamma 90.00
loop_
_atom_site_label
_atom_site_type_symbol
_atom_site_fract_x
_atom_site_fract_y
_atom_site_fract_z
Hg1 Hg 0.000 0.000 0.000
As1 As 0.000 0.000 0.500
F1 F 0.500 0.500 0.500

=====

Entry 2
# HgAs3F | the Alexandria database | GGA-PBE | relaxed
# DOS(E_F): 4.0 states/eV/f.u.
data_HgAs3F
_symmetry_space_group_name_H-M 'P m -3 m'
_symmetry_Int_Tables_number 221
_symmetry_space_group_name_Hall '-P 4 2 3'
_cell_length_a 4.668
_cell_length_b 4.668
_cell_length_c 4.668
_cell_angle_alpha 90.00
_cell_angle_beta 90.00
_cell_angle_gamma 90.00
loop_
_atom_site_label
_atom_site_type_symbol
_atom_site_fract_x
_atom_site_fract_y
_atom_site_fract_z
Hg1 Hg 0.000 0.000 0.000
As1 As 0.000 0.500 0.500
F1 F 0.500 0.500 0.500

=====

Stability, descending: entry 2, entry 1

=====

Entry 1
# HgAs2F | the Alexandria database | GGA-PBE | relaxed
# DOS(E_F): 2.7 states/eV/f.u.
data_HgAs2F
_symmetry_space_group_name_H-M 'I -4 2 d'
_symmetry_Int_Tables_number 122
_symmetry_space_group_name_Hall 'I -4 2bw'
_cell_length_a 3.941
_cell_length_b 3.941
_cell_length_c 19.938
_cell_angle_alpha 90.00
_cell_angle_beta 90.00
_cell_angle_gamma 90.00
loop_
_atom_site_label
_atom_site_type_symbol
_atom_site_fract_x
_atom_site_fract_y
_atom_site_fract_z
Hg1 Hg 0.000 0.000 0.000
As1 As 0.204 0.250 0.625
F1 F 0.000 0.000 0.500

=====

Entry 2
# HgAs2F | the Alexandria database | GGA-PBE | relaxed
# DOS(E_F): 1.3 states/eV/f.u.
data_HgAs2F
_symmetry_space_group_name_H-M 'F m -3 m'
_symmetry_Int_Tables_number 225
_symmetry_space_group_name_Hall '-F 4 2 3'
_cell_length_a 6.571
_cell_length_b 6.571
_cell_length_c 6.571
_cell_angle_alpha 90.00
_cell_angle_beta 90.00
_cell_angle_gamma 90.00
loop_
_atom_site_label
_atom_site_type_symbol
_atom_site_fract_x
_atom_site_fract_y
_atom_site_fract_z
Hg1 Hg 0.000 0.000 0.000
As1 As 0.250 0.250 0.250
F1 F 0.000 0.000 0.500

=====

Stability, descending: entry 1, entry 2

=====

Entry 1
# HgAsOF2 | the Alexandria database | GGA-PBE | relaxed
# DOS(E_F): 4.3 states/eV/f.u.
data_HgAsOF2
_symmetry_space_group_name_H-M 'P 4/m m m'
_symmetry_Int_Tables_number 123
_symmetry_space_group_name_Hall '-P 4 2'
_cell_length_a 4.406
_cell_length_b 4.406
_cell_length_c 3.899
_cell_angle_alpha 90.00
_cell_angle_beta 90.00
_cell_angle_gamma 90.00
loop_
_atom_site_label
_atom_site_type_symbol
_atom_site_fract_x
_atom_site_fract_y
_atom_site_fract_z
Hg1 Hg 0.000 0.000 0.000
As1 As 0.500 0.500 0.500
O1 O 0.500 0.500 0.000
F1 F 0.000 0.500 0.500

=====

Entry 2
# HgAsOF2 | the Alexandria database | GGA-PBE | relaxed
# DOS(E_F): 3.5 states/eV/f.u.
data_HgAsOF2
_symmetry_space_group_name_H-M 'P 4/m m m'
_symmetry_Int_Tables_number 123
_symmetry_space_group_name_Hall '-P 4 2'
_cell_length_a 4.470
_cell_length_b 4.470
_cell_length_c 4.329
_cell_angle_alpha 90.00
_cell_angle_beta 90.00
_cell_angle_gamma 90.00
loop_
_atom_site_label
_atom_site_type_symbol
_atom_site_fract_x
_atom_site_fract_y
_atom_site_fract_z
Hg1 Hg 0.000 0.000 0.000
As1 As 0.500 0.500 0.500
O1 O 0.000 0.000 0.500
F1 F 0.000 0.500 0.000

=====

Stability, descending: entry 1, entry 2

=====

Entry 1
# AsI2F | the Alexandria database | GGA-PBE | relaxed
# DOS(E_F): 0.5 states/eV/f.u.
data_AsI2F
_symmetry_space_group_name_H-M 'F m -3 m'
_symmetry_Int_Tables_number 225
_symmetry_space_group_name_Hall '-F 4 2 3'
_cell_length_a 7.151
_cell_length_b 7.151
_cell_length_c 7.151
_cell_angle_alpha 90.00
_cell_angle_beta 90.00
_cell_angle_gamma 90.00
loop_
_atom_site_label
_atom_site_type_symbol
_atom_site_fract_x
_atom_site_fract_y
_atom_site_fract_z
As1 As 0.000 0.000 0.000
I1 I 0.250 0.250 0.250
F1 F 0.000 0.000 0.500

=====

Entry 2
# AsI2F | the Alexandria database | GGA-PBE | relaxed
# DOS(E_F): 0.0 states/eV/f.u.
data_AsI2F
_symmetry_space_group_name_H-M 'I -4 2 d'
_symmetry_Int_Tables_number 122
_symmetry_space_group_name_Hall 'I -4 2bw'
_cell_length_a 7.457
_cell_length_b 7.457
_cell_length_c 8.377
_cell_angle_alpha 90.00
_cell_angle_beta 90.00
_cell_angle_gamma 90.00
loop_
_atom_site_label
_atom_site_type_symbol
_atom_site_fract_x
_atom_site_fract_y
_atom_site_fract_z
As1 As 0.000 0.000 0.000
I1 I 0.243 0.250 0.125
F1 F 0.000 0.000 0.500

=====

Entry 3
# AsI2F | the Alexandria database | GGA-PBE | relaxed
# DOS(E_F): 0.0 states/eV/f.u.
data_AsI2F
_symmetry_space_group_name_H-M 'P 1'
_symmetry_Int_Tables_number 1
_cell_length_a 4.203
_cell_length_b 4.805
_cell_length_c 7.929
_cell_angle_alpha 104.94
_cell_angle_beta 105.13
_cell_angle_gamma 91.62
loop_
_symmetry_equiv_pos_as_xyz
'x,y,z'
loop_
_atom_site_label
_atom_site_type_symbol
_atom_site_fract_x
_atom_site_fract_y
_atom_site_fract_z
As1 As 0.000 0.000 0.000
I1 I 0.277 0.902 0.722
I2 I 0.558 0.133 0.279
F1 F 0.955 0.625 0.997

=====

Stability, descending: entry 3, entry 2, entry 1